(1)
Entry from Alexandria: BaAuIN2 after structural relaxation (PBE).

Cell lengths 4.726, 4.726, 7.409 Å; angles 90.00, 90.00, 90.00 degrees
Space group P4/mmm (No. 123)
Unique sites:
Ba1 0.000 0.000 0.000 x1
Au1 0.500 0.500 0.500 x1
I1 0.000 0.000 0.500 x1
N1 0.000 0.500 0.000 x2

Its energy above the most stable polymorph in this dataset is 2.74 eV per formula unit. For the total moment, the calculation gives 2.5 μB per cell. The calculated total energy comes out at -0.1167 hartree per atom. For the raw formation energy, the calculation gives 1.504 eV per atom.

=====

(2)
Entry from Alexandria: LiPmUSe3 after structural relaxation (PBE).

Cell lengths 8.573, 3.952, 8.890 Å; angles 90.00, 105.44, 90.00 degrees
Space group P2_1/m (No. 11)
Unique sites:
Li1 0.088 0.250 0.089 x2
Pm1 0.182 0.250 0.731 x2
U1 0.350 0.750 0.355 x2
Se1 0.098 0.250 0.374 x2
Se2 0.220 0.750 0.005 x2
Se3 0.425 0.750 0.696 x2

For the total moment, the calculation gives 6.7 μB per cell. The calculated total energy comes out at -0.2234 hartree per atom. For the raw formation energy, the calculation gives -1.344 eV per atom.

=====

(3)
Entry from Alexandria: Ce2Th2Sn after structural relaxation (PBE).

Cell lengths 5.4448, 5.4448, 12.1765 Å; angles 90.00, 90.00, 120.00 degrees
Space group P6_3/mmc (No. 194)
Unique sites:
Ce1 0.0000 0.0000 0.0000 x2
Ce2 0.3333 0.6667 0.2500 x2
Th1 0.3333 0.6667 0.5688 x4
Sn1 0.0000 0.0000 0.2500 x2

Its energy above the most stable polymorph in this dataset is 0.00 eV per formula unit. Its formation energy is -0.04 eV/atom. For the total moment, the calculation gives 1.4 μB per cell. The calculated total energy comes out at -0.2270 hartree per atom.

=====

(4)
Entry from Alexandria: Na3Dy2TmTe6 after structural relaxation (PBE).

Cell lengths 7.642, 13.237, 7.983 Å; angles 90.00, 108.62, 90.00 degrees
Space group C2/m (No. 12)
Unique sites:
Na1 0.000 0.000 0.000 x2
Na2 0.000 0.332 0.000 x4
Dy1 0.000 0.166 0.500 x4
Tm1 0.000 0.500 0.500 x2
Te1 0.242 0.335 0.731 x8
Te2 0.247 0.000 0.731 x4

For the total moment, the calculation gives 0.0 μB per cell. The calculated total energy comes out at -0.1598 hartree per atom. For the raw formation energy, the calculation gives -1.309 eV per atom.

=====

(5)
Entry from Alexandria: NaCa2TlCl6 after structural relaxation (PBE).

Cell lengths 7.3203, 7.3203, 18.9697 Å; angles 90.00, 90.00, 120.00 degrees
Space group R3 (No. 146, hexagonal axes)
Unique sites:
Na1 0.0000 0.0000 0.0000 x3
Ca1 0.0000 0.0000 0.3034 x3
Ca2 0.0000 0.0000 0.7960 x3
Tl1 0.0000 0.0000 0.5212 x3
Cl1 0.0090 0.3755 0.0556 x9
Cl2 0.0162 0.5905 0.5588 x9

For the total moment, the calculation gives 0.0 μB per cell. The calculated total energy comes out at -0.1423 hartree per atom. For the raw formation energy, the calculation gives -1.996 eV per atom.

=====

(6)
Entry from Alexandria: LiMn4Se5 after structural relaxation (PBE).

Cell lengths 12.622, 3.797, 9.335 Å; angles 90.00, 119.90, 90.00 degrees
Space group C2/m (No. 12)
Unique sites:
Li1 0.000 0.000 0.000 x2
Mn1 0.100 0.500 0.398 x4
Mn2 0.202 0.000 0.806 x4
Se1 0.000 0.000 0.500 x2
Se2 0.102 0.500 0.894 x4
Se3 0.203 0.000 0.305 x4

For the total moment, the calculation gives 36.8 μB per cell. The calculated total energy comes out at -0.2253 hartree per atom. For the raw formation energy, the calculation gives -0.530 eV per atom.

=====

(7)
Entry from Alexandria: Be2Se after structural relaxation (PBE).

Cell lengths 2.699, 2.699, 11.633 Å; angles 90.00, 90.00, 90.00 degrees
Space group I4/mmm (No. 139)
Unique sites:
Be1 0.000 0.000 0.207 x4
Se1 0.000 0.000 0.500 x2

Its energy above the most stable polymorph in this dataset is 2.57 eV per formula unit. For the total moment, the calculation gives 0.0 μB per cell. The calculated total energy comes out at -0.1131 hartree per atom. For the raw formation energy, the calculation gives 0.567 eV per atom.

=====

(8)
Entry from Alexandria: MnBeTe2 after structural relaxation (PBE).

Cell lengths 3.757, 3.757, 15.978 Å; angles 90.00, 90.00, 90.00 degrees
Space group I-4m2 (No. 119)
Unique sites:
Mn1 0.000 0.000 0.000 x2
Be1 0.000 0.500 0.750 x2
Te1 0.000 0.000 0.500 x2
Te2 0.000 0.500 0.250 x2

For the total moment, the calculation gives 9.4 μB per cell. The calculated total energy comes out at -0.1630 hartree per atom. For the raw formation energy, the calculation gives 0.360 eV per atom.

=====

(9)
Entry from Alexandria: AcBeNi2H8 after structural relaxation (PBE).

Cell lengths 8.444, 4.235, 6.859 Å; angles 90.00, 111.95, 90.00 degrees
Space group C2/m (No. 12)
Unique sites:
Ac1 0.000 0.000 0.000 x2
Be1 0.000 0.000 0.500 x2
Ni1 0.076 0.500 0.683 x4
H1 0.069 0.245 0.370 x8
H2 0.153 0.500 0.931 x4
H3 0.245 0.000 0.330 x4

For the total moment, the calculation gives 0.0 μB per cell. The calculated total energy comes out at -0.1444 hartree per atom.

=====

(10)
Entry from Alexandria: Li2LaNi9 after structural relaxation (PBE).

Cell lengths 8.155, 8.155, 4.768 Å; angles 90.00, 90.00, 90.00 degrees
Space group P4/mbm (No. 127)
Unique sites:
Li1 0.113 0.387 0.000 x4
La1 0.000 0.000 0.000 x2
Ni1 0.000 0.500 0.500 x2
Ni2 0.064 0.213 0.500 x8
Ni3 0.179 0.679 0.246 x8

Its formation energy is -0.13 eV/atom. For the total moment, the calculation gives 6.7 μB per cell. The calculated total energy comes out at -0.1911 hartree per atom.

=====

(11)
Entry from Alexandria: NaAlPb after structural relaxation (PBE).

Cell lengths 14.163, 4.639, 4.740 Å; angles 90.00, 90.02, 90.00 degrees
Space group C2/m (No. 12)
Unique sites:
Na1 0.000 0.000 0.000 x2
Na2 0.000 0.500 0.500 x2
Al1 0.185 0.000 0.500 x4
Pb1 0.169 0.500 0.999 x4

Its formation energy is 0.09 eV/atom. For the total moment, the calculation gives 0.0 μB per cell. The calculated total energy comes out at -0.1042 hartree per atom.

=====

(12)
Entry from Alexandria: RbGeBr5 after structural relaxation (PBE).

Cell lengths 8.524, 8.767, 8.405 Å; angles 90.00, 90.00, 90.00 degrees
Space group Imm2 (No. 44)
Unique sites:
Rb1 0.000 0.000 0.000 x2
Ge1 0.000 0.500 0.669 x2
Br1 0.000 0.212 0.660 x4
Br2 0.000 0.500 0.386 x2
Br3 0.235 0.500 0.824 x4

For the total moment, the calculation gives 0.0 μB per cell. The calculated total energy comes out at -0.1033 hartree per atom. For the raw formation energy, the calculation gives -0.817 eV per atom.

=====

Density
In order: 4.9 7.2 9.2 5.8 2.9 5.3 3.8 4.7 5.3 7.1 5.5 2.9
Unit: g cm⁻³